1.
An optimized crystal structure of Ac6SnHg2. Source: Alexandria, functional PBE-GGA.

```
Ac6SnHg2
1.0
9.672 -0.084 -0.224
-3.742 8.919 0.224
-3.369 -4.146 8.066
Ac Sn Hg
12 2 4
Direct
0.543 0.723 0.821
0.457 0.277 0.179
0.098 0.277 0.821
0.902 0.723 0.179
0.810 0.757 0.567
0.190 0.243 0.433
0.190 0.757 0.947
0.810 0.243 0.053
0.705 0.375 0.670
0.295 0.625 0.330
0.295 0.965 0.670
0.705 0.035 0.330
0.000 0.500 0.500
0.000 0.000 0.000
0.500 0.372 0.872
0.500 0.628 0.128
0.657 0.000 0.657
0.343 0.000 0.343
```

Calculated values
electronic total energy	-3.5732	eV/atom
magnetization	0.0	Bohr magnetons per cell
formation enthalpy at 0 K	-2.902	eV/f.u.

=====

2.
An optimized crystal structure of Ac12Sn6Hg. Source: Alexandria, functional PBE-GGA.

```
Ac12Sn6Hg
1.0
-4.032 8.729 -0.353
-5.138 -4.605 -6.707
-4.011 -3.490 8.020
Ac Sn Hg
12 6 1
Direct
0.815 0.581 0.441
0.441 0.815 0.581
0.581 0.441 0.815
0.185 0.419 0.559
0.559 0.185 0.419
0.419 0.559 0.185
0.055 0.954 0.326
0.046 0.674 0.945
0.674 0.945 0.046
0.945 0.046 0.674
0.954 0.326 0.055
0.326 0.055 0.954
0.687 0.871 0.375
0.625 0.313 0.129
0.129 0.625 0.313
0.313 0.129 0.625
0.375 0.687 0.871
0.871 0.375 0.687
0.000 0.000 0.000
```

Calculated values
electronic total energy	-4.2400	eV/atom
magnetization	0.5	Bohr magnetons per cell
formation enthalpy at 0 K	-6.939	eV/f.u.

=====

3.
An optimized crystal structure of AcSnHg. Source: Alexandria, functional PBE-GGA.

```
AcSnHg
1.0
4.879 0.000 0.000
2.440 6.154 0.166
2.440 0.976 6.078
Ac Sn Hg
2 2 2
Direct
0.911 0.589 0.589
0.016 0.984 0.984
0.627 0.577 0.169
0.627 0.169 0.577
0.306 0.001 0.387
0.306 0.387 0.001
```

Calculated values
electronic total energy	-3.3273	eV/atom
magnetization	0.0	Bohr magnetons per cell
formation enthalpy at 0 K	-1.569	eV/f.u.
ΔE to the lowest computed polymorph	45	meV/atom

=====

4.
An optimized crystal structure of Ac2SnHg. Source: Alexandria, functional PBE-GGA.

```
Ac2SnHg
1.0
4.694 0.000 0.000
0.000 6.650 -0.095
0.000 -3.442 9.066
Ac Sn Hg
4 2 2
Direct
0.750 0.224 0.426
0.250 0.776 0.574
0.250 0.780 0.065
0.750 0.220 0.935
0.750 0.666 0.291
0.250 0.334 0.709
0.250 0.344 0.209
0.750 0.656 0.791
```

Calculated values
electronic total energy	-3.7119	eV/atom
magnetization	0.0	Bohr magnetons per cell
formation enthalpy at 0 K	-2.326	eV/f.u.
ΔE to the lowest computed polymorph	0	meV/atom

=====

5.
An optimized crystal structure of Ac2Sn5Hg3. Source: Alexandria, functional PBE-GGA.

```
Ac2Sn5Hg3
1.0
6.664 0.000 0.000
3.332 9.477 -1.038
3.332 0.436 9.523
Ac Sn Hg
4 10 6
Direct
0.128 0.591 0.153
0.628 0.153 0.591
0.872 0.409 0.847
0.372 0.847 0.409
0.393 0.272 0.942
0.893 0.942 0.272
0.607 0.728 0.058
0.107 0.058 0.728
0.475 0.775 0.775
0.525 0.225 0.225
0.750 0.500 0.500
0.250 0.500 0.500
0.025 0.225 0.225
0.975 0.775 0.775
0.356 0.514 0.775
0.856 0.775 0.514
0.644 0.486 0.225
0.144 0.225 0.486
0.250 0.000 0.000
0.750 0.000 0.000
```

Calculated values
electronic total energy	-3.1670	eV/atom
magnetization	0.0	Bohr magnetons per cell
formation enthalpy at 0 K	-2.534	eV/f.u.

=====

6.
An optimized crystal structure of Ac4Sn5Hg2. Source: Alexandria, functional PBE-GGA.

```
Ac4Sn5Hg2
1.0
-0.429 -1.571 -3.680
8.033 -2.041 -0.065
-3.019 -9.189 4.276
Ac Sn Hg
4 5 2
Direct
0.500 0.733 0.571
0.500 0.190 0.884
0.500 0.267 0.429
0.500 0.810 0.116
0.000 0.560 0.302
0.000 0.181 0.158
0.000 0.500 0.000
0.000 0.819 0.842
0.000 0.440 0.698
0.000 0.068 0.636
0.000 0.932 0.364
```

Calculated values
electronic total energy	-3.8770	eV/atom
magnetization	0.0	Bohr magnetons per cell
formation enthalpy at 0 K	-5.596	eV/f.u.

=====

7.
An optimized crystal structure of Ac2SnHg4. Source: Alexandria, functional PBE-GGA.

```
Ac2SnHg4
1.0
-5.118 1.384 1.576
0.705 -2.778 4.730
5.161 7.545 0.429
Ac Sn Hg
2 1 4
Direct
0.625 0.625 0.250
0.375 0.375 0.750
0.000 0.000 0.000
0.819 0.819 0.639
0.181 0.181 0.361
0.000 0.500 0.000
0.500 0.000 0.000
```

Calculated values
electronic total energy	-2.0061	eV/atom
magnetization	0.0	Bohr magnetons per cell
formation enthalpy at 0 K	-0.616	eV/f.u.
ΔE to the lowest computed polymorph	352	meV/atom

=====

8.
An optimized crystal structure of Ac3SnHg4. Source: Alexandria, functional PBE-GGA.

```
Ac3SnHg4
1.0
4.525 0.000 0.000
0.000 9.239 0.000
-2.262 -4.619 6.638
Ac Sn Hg
3 1 4
Direct
0.185 0.185 0.369
0.815 0.815 0.631
0.000 0.500 0.000
0.500 0.000 0.000
0.373 0.150 0.747
0.627 0.850 0.253
0.627 0.404 0.253
0.373 0.596 0.747
```

Calculated values
electronic total energy	-2.5859	eV/atom
magnetization	0.0	Bohr magnetons per cell
formation enthalpy at 0 K	-3.152	eV/f.u.

=====

9.
An optimized crystal structure of Ac4Sn3Hg. Source: Alexandria, functional PBE-GGA.

```
Ac4Sn3Hg
1.0
4.912 0.000 0.000
0.000 4.658 0.000
0.000 0.000 12.408
Ac Sn Hg
4 3 1
Direct
0.500 0.500 0.359
0.000 0.500 0.863
0.000 0.000 0.136
0.500 0.000 0.638
0.000 0.500 0.584
0.000 0.000 0.417
0.500 0.000 0.921
0.500 0.500 0.082
```

Calculated values
electronic total energy	-4.2402	eV/atom
magnetization	0.1	Bohr magnetons per cell
formation enthalpy at 0 K	-5.178	eV/f.u.

=====

10.
An optimized crystal structure of Ac7Sn2Hg2. Source: Alexandria, functional PBE-GGA.

```
Ac7Sn2Hg2
1.0
-3.420 5.200 4.260
-6.942 -4.222 -0.420
2.947 -5.293 4.493
Ac Sn Hg
7 2 2
Direct
0.000 0.287 0.500
0.500 0.713 0.000
0.000 0.713 0.500
0.500 0.287 0.000
0.000 0.000 0.000
0.500 0.749 0.500
0.500 0.251 0.500
0.828 0.500 0.828
0.172 0.500 0.172
0.716 0.000 0.284
0.284 0.000 0.716
```

Calculated values
electronic total energy	-3.5944	eV/atom
magnetization	0.0	Bohr magnetons per cell
formation enthalpy at 0 K	-2.170	eV/f.u.